1.
Computed, not measured: a relaxed structure of ZrScCuS4 at the PBE-GGA level of DFT.

Properties
As for the crystal system: orthorhombic. For the total energy, the calculation gives -90.73 eV/cell. The symmetry is Imma.

The structure in POSCAR format:
```
ZrScCuS4
1.0
-3.0015 5.6226 3.7609
-7.3244 0.2692 1.0335
-2.8298 -1.1500 6.7422
S Zr Sc Cu
8 2 2 2
direct
0.7618 0.2454 0.7454
0.2486 0.2462 0.2566
0.2382 0.7546 0.2546
0.7514 0.2434 0.2538
0.7525 0.7546 0.2546
0.2475 0.2454 0.7454
0.2486 0.7566 0.7462
0.7514 0.7538 0.7434
0.0000 0.0000 0.5000
0.5000 0.0000 0.5000
0.0000 0.5000 0.5000
0.0000 0.0000 0.0000
0.6205 0.6294 0.1294
0.3795 0.3706 0.8706
```

***

2.
Computed, not measured: a relaxed structure of Tb2Tm8Sc3 at the PBE-GGA level of DFT.

Properties
The energy of formation from the pure elements is 0.264 eV/atom. As for the crystal system: monoclinic. The symmetry is C2/m.

The structure in POSCAR format:
```
Tb2Tm8Sc3
1.0
6.4633 0.0000 0.6406
0.0000 8.6433 0.0000
-1.7377 -4.3217 7.0020
Sc Tm Tb
3 8 2
direct
0.0000 0.1650 0.0000
0.5000 0.0000 0.0000
0.0000 0.8350 0.0000
0.4257 0.4265 0.2178
0.1166 0.4132 0.8263
0.2169 0.8049 0.6098
0.8834 0.5868 0.1737
0.4257 0.7914 0.2178
0.7831 0.1951 0.3902
0.5743 0.5735 0.7822
0.5743 0.2086 0.7822
0.7211 0.7980 0.5961
0.2789 0.2020 0.4039
```